Compound: CdIn2
Source: the Alexandria database
Functional: PBEsol
Structure: relaxed

a b c (Å): 3.037 5.276 5.276
angles (deg): 120.00 90.00 90.00
Sites, in units of the cell vectors:
In  0.500  0.333  0.667
In  0.500  0.667  0.333
Cd  0.000  0.000  0.000

Properties
Its space group is P6/mmm (191). As for the total energy: -2.315 eV per atom.